## one
The following is a PBE calculation of an optimized crystal structure of Sm8Ir2Rh, from Alexandria.

a = 4.964 Å, b = 6.964 Å, c = 9.207 Å
α = 104.30°, β = 105.64°, γ = 90.00°
Positions (direct):
Sm1 0.594 0.456 0.188
Sm2 0.406 0.544 0.812
Sm3 0.031 0.787 0.063
Sm4 0.332 0.032 0.665
Sm5 0.796 0.683 0.591
Sm6 0.969 0.213 0.937
Sm7 0.204 0.317 0.409
Sm8 0.668 0.968 0.335
Ir1 0.810 0.286 0.621
Ir2 0.190 0.714 0.379
Rh1 0.500 0.000 0.000

- DOS at the Fermi energy: 11.13 states/eV per cell
- Space group: C2/m, No. 12

## two
The following is a PBE calculation of an optimized crystal structure of Sm8Ir2Rh, from Alexandria.

a = 6.251 Å, b = 7.606 Å, c = 7.606 Å
α = 112.63°, β = 100.83°, γ = 100.83°
Positions (direct):
Sm1 0.987 0.210 0.792
Sm2 0.589 0.082 0.345
Sm3 0.589 0.345 0.082
Sm4 0.372 0.661 0.923
Sm5 0.177 0.361 0.361
Sm6 0.372 0.923 0.661
Sm7 0.797 0.645 0.645
Sm8 0.987 0.792 0.210
Ir1 0.487 0.692 0.318
Ir2 0.487 0.318 0.692
Rh1 0.154 0.005 0.005

- DOS at the Fermi energy: 9.96 states/eV per cell
- Space group: Cm, No. 8

Verdict on stability: two comes out at the bottom.

## one
The following is a PBE calculation of an optimized crystal structure of Sm4IrRh2, from Alexandria.

a = 7.589 Å, b = 7.589 Å, c = 7.590 Å
α = 109.37°, β = 109.37°, γ = 109.68°
Positions (direct):
Sm1 0.252 0.501 0.128
Sm2 0.876 0.749 0.249
Sm3 0.750 0.002 0.627
Sm4 0.998 0.626 0.749
Sm5 0.373 0.124 0.872
Sm6 0.374 0.123 0.373
Sm7 0.877 0.250 0.251
Sm8 0.500 0.627 0.751
Rh1 0.502 0.875 0.127
Rh2 0.125 0.253 0.627
Rh3 0.748 0.375 0.873
Rh4 0.625 0.497 0.373
Ir1 0.249 0.749 0.500
Ir2 0.000 0.000 0.000

- DOS at the Fermi energy: 9.34 states/eV per cell
- Space group: I2_12_12_1, No. 24

## two
The following is a PBE calculation of an optimized crystal structure of Sm4IrRh2, from Alexandria.

a = 4.912 Å, b = 4.912 Å, c = 8.593 Å
α = 73.39°, β = 73.39°, γ = 60.00°
Positions (direct):
Rh1 0.750 0.750 0.749
Rh2 0.250 0.250 0.251
Sm1 0.375 0.375 0.875
Sm2 0.124 0.124 0.627
Sm3 0.876 0.876 0.373
Sm4 0.625 0.625 0.125
Ir1 0.000 0.000 0.000

- DOS at the Fermi energy: 3.62 states/eV per cell
- Space group: R-3m, No. 166

Verdict on stability: two comes out at the bottom.